A plane-wave DFT calculation with meta-GGA SCAN was carried out for MnAsOs2 at its PBEsol-relaxed geometry.

Cell: 8.5687 2.8156 4.6393 Å, 90.00 97.36 90.00°
Element x y z (fractional)
Mn 0.0000 0.0000 0.0000
Mn 0.5000 0.5000 0.0000
As 0.0000 0.5000 0.5000
As 0.5000 0.0000 0.5000
Os 0.2317 0.5000 0.2336
Os 0.2683 0.0000 0.7664
Os 0.7317 0.0000 0.2336
Os 0.7683 0.5000 0.7664

Output
The formation energy comes out at 97 meV per atom. The calculation puts the density of states at the Fermi level at 0.47 states/eV per atom. For the magnetic moment, the calculation gives 0.7089 μB/atom.